Density functional theory data (PBE-GGA) for a relaxed K2NdHg crystal.

a b c (Å): 3.762 3.762 13.345
angles (deg): 81.90 81.90 60.00
Atoms (fractional coordinates):
1 Hg 0.500 0.500 0.500
2 Nd 0.000 0.000 0.000
3 K 0.095 0.095 0.715
4 K 0.905 0.905 0.285

Summary:
M_tot ... 0.00 μB/cell
Energy relative to the elements ... 197 meV per atom
Fermi-level density of states ... 2.25 states/eV per cell
Space group ... R-3m (166)



Density functional theory data (PBE-GGA) for a relaxed HoEr3Pd crystal.

a b c (Å): 5.181 6.255 8.924
angles (deg): 95.48 106.88 90.00
Atoms (fractional coordinates):
1 Er 0.963 0.230 0.926
2 Er 0.318 0.099 0.637
3 Er 0.206 0.563 0.412
4 Er 0.794 0.437 0.588
5 Er 0.037 0.770 0.074
6 Er 0.682 0.901 0.363
7 Ho 0.410 0.632 0.820
8 Ho 0.590 0.368 0.180
9 Pd 0.144 0.135 0.288
10 Pd 0.856 0.865 0.712

Summary:
M_tot ... 0.00 μB/cell
Energy relative to the elements ... -278 meV per atom
Fermi-level density of states ... 13.60 states/eV per cell
Space group ... C2/m (12)



Density functional theory data (PBE-GGA) for a relaxed ZnCo2Sn8 crystal.

a b c (Å): 4.921 7.692 7.692
angles (deg): 68.08 89.43 89.43
Atoms (fractional coordinates):
1 Co 0.213 0.170 0.170
2 Co 0.787 0.830 0.830
3 Sn 0.711 0.204 0.204
4 Sn 0.297 0.828 0.358
5 Sn 0.703 0.172 0.642
6 Sn 0.289 0.796 0.796
7 Sn 0.297 0.358 0.828
8 Sn 0.703 0.642 0.172
9 Sn 0.190 0.373 0.373
10 Sn 0.810 0.627 0.627
11 Zn 0.000 0.000 0.000

Summary:
M_tot ... 0.00 μB/cell
Energy relative to the elements ... 88 meV per atom
Fermi-level density of states ... 5.66 states/eV per cell
Space group ... C2/m (12)